Crystalline Ho2NbB2Ru5 at its relaxed geometry. Source: the Alexandria database, functional PBE.

Properties
Formation energy = -48.2 kJ per mole of atoms
Symmetry = P4/mbm, No. 127
Theoretical density = 10.79 g cm⁻³
Total magnetic moment = 0.00 Bohr magnetons per cell

Cell: 9.6687 9.6687 3.1283 Å, 90.00 90.00 90.00°
With the nearest neighbours (Å) after each atom.
Fractional coordinates of all 20 atoms:
Ho: 0.1751 0.3249 0.0000  3 B 2.80-2.91, 10 Ru 2.86-3.03, 2 Ho 3.13
Ho: 0.3249 0.8249 0.0000  3 B 2.80-2.91, 10 Ru 2.86-3.03, 2 Ho 3.13
Ho: 0.6751 0.1751 0.0000  3 B 2.80-2.91, 10 Ru 2.86-3.03, 2 Ho 3.13
Ho: 0.8249 0.6751 0.0000  3 B 2.80-2.91, 10 Ru 2.86-3.03, 2 Ho 3.13
Nb: 0.0000 0.0000 0.0000  8 Ru 2.71
Nb: 0.5000 0.5000 0.0000  8 Ru 2.71
B: 0.1205 0.6205 0.0000  6 Ru 2.26-2.27
B: 0.3795 0.1205 0.0000  6 Ru 2.26-2.27
B: 0.6205 0.8795 0.0000  6 Ru 2.26-2.27
B: 0.8795 0.3795 0.0000  6 Ru 2.26-2.27
Ru: 0.0000 0.5000 0.5000  4 B 2.27
Ru: 0.0711 0.7819 0.5000  2 B 2.26
Ru: 0.2181 0.0711 0.5000  2 B 2.26
Ru: 0.2819 0.5711 0.5000  2 B 2.26
Ru: 0.4289 0.2819 0.5000  2 B 2.26
Ru: 0.5000 0.0000 0.5000  4 B 2.27
Ru: 0.5711 0.7181 0.5000  2 B 2.26
Ru: 0.7181 0.4289 0.5000  2 B 2.26
Ru: 0.7819 0.9289 0.5000  2 B 2.26
Ru: 0.9289 0.2181 0.5000  2 B 2.26

***

Crystalline Li2VAs2 at its relaxed geometry. Source: the Alexandria database, functional PBE.

Properties
Formation energy = -36.7 kJ per mole of atoms
Symmetry = P4/mbm, No. 127
Theoretical density = 4.09 g cm⁻³
Total magnetic moment = 5.85 Bohr magnetons per cell

Cell: 6.5106 6.5106 4.1078 Å, 90.00 90.00 90.00°
With the nearest neighbours (Å) after each atom.
Fractional coordinates of all 10 atoms:
Li: 0.1666 0.3334 0.0000  6 As 2.73-2.86
Li: 0.3334 0.8334 0.0000  6 As 2.73-2.86
Li: 0.6666 0.1666 0.0000  6 As 2.73-2.86
Li: 0.8334 0.6666 0.0000  6 As 2.73-2.86
V: 0.0000 0.0000 0.5000  4 As 2.52
V: 0.5000 0.5000 0.5000  4 As 2.52
As: 0.1376 0.6376 0.5000  2 V 2.52, 1 As 2.53, 2 Li 2.73
As: 0.3624 0.1376 0.5000  2 V 2.52, 1 As 2.53, 2 Li 2.73
As: 0.6376 0.8624 0.5000  2 V 2.52, 1 As 2.53, 2 Li 2.73
As: 0.8624 0.3624 0.5000  2 V 2.52, 1 As 2.53, 2 Li 2.73

***

Crystalline LaPr2Nd2Tm at its relaxed geometry. Source: the Alexandria database, functional PBE.

Properties
Formation energy = 5.4 kJ per mole of atoms
Symmetry = Pmma, No. 51
Theoretical density = 6.98 g cm⁻³
Total magnetic moment = 0.00 Bohr magnetons per cell

Cell: 7.1485 5.8122 10.0580 Å, 90.00 90.00 90.00°
With the nearest neighbours (Å) after each atom.
Fractional coordinates of all 12 atoms:
La: 0.2500 0.0000 0.1558  5 Nd 3.28-3.58
La: 0.7500 0.0000 0.8442  5 Nd 3.28-3.58
Pr: 0.0000 0.0000 0.5000  6 Pr 3.57-3.85, 6 Nd 3.77-3.78, 2 La 3.90
Pr: 0.2500 0.5000 0.6781  5 Nd 3.28-3.58
Pr: 0.5000 0.0000 0.5000  6 Pr 3.57-3.85, 6 Nd 3.77-3.78, 2 La 3.90
Pr: 0.7500 0.5000 0.3219  5 Nd 3.28-3.58
Nd: 0.2500 0.0000 0.8295  2 Pr 3.28, 3 La 3.28-3.58
Nd: 0.2500 0.5000 0.3374  7 Pr 3.43-3.78, 2 La 3.43, 2 Tm 3.84
Nd: 0.7500 0.0000 0.1705  2 Pr 3.28, 3 La 3.28-3.58
Nd: 0.7500 0.5000 0.6626  7 Pr 3.43-3.78, 2 La 3.43, 2 Tm 3.84
Tm: 0.0000 0.5000 0.0000  2 Tm 3.57, 2 Pr 3.70, 4 La 3.75, 6 Nd 3.82-3.84
Tm: 0.5000 0.5000 0.0000  2 Tm 3.57, 2 Pr 3.70, 4 La 3.75, 6 Nd 3.82-3.84

***

Crystalline TbPuO at its relaxed geometry. Source: the Alexandria database, functional PBE.

Properties
Symmetry = Amm2, No. 38
ΔE to the lowest computed polymorph = 0.0 meV/atom
Theoretical density = 11.37 g cm⁻³
ΔE_f (raw) = -1621 meV/atom
Total magnetic moment = 23.43 Bohr magnetons per cell

Cell: 11.7667 3.4640 6.0044 Å, 90.00 90.00 90.00°
With the nearest neighbours (Å) after each atom.
Fractional coordinates of all 12 atoms:
Tb: 0.2493 0.0000 0.0000  3 O 2.48
Tb: 0.2493 0.5000 0.5000  3 O 2.48
Tb: 0.7507 0.0000 0.0000  3 O 2.48
Tb: 0.7507 0.5000 0.5000  3 O 2.48
Pu: 0.0000 0.0000 0.3334  6 O 2.48
Pu: 0.0000 0.5000 0.8334  6 O 2.48
Pu: 0.5000 0.0000 0.3308  6 Pu 3.46-3.47, 6 Tb 3.56-3.57
Pu: 0.5000 0.5000 0.8308  6 Pu 3.46-3.47, 6 Tb 3.56-3.57
O: 0.1248 0.0000 0.6667  3 Tb 2.48, 3 Pu 2.48
O: 0.1248 0.5000 0.1667  3 Tb 2.48, 3 Pu 2.48
O: 0.8752 0.0000 0.6667  3 Tb 2.48, 3 Pu 2.48
O: 0.8752 0.5000 0.1667  3 Tb 2.48, 3 Pu 2.48